# NaZrSc

Crystalline NaZrSc at its relaxed geometry (PBE, the Alexandria database).

abc: 4.496 4.551 15.487
angles: 90.00 90.00 90.00
Space group Pnma (No. 62)
Inequivalent atoms, fractional coordinates:
1 Na 0.250 0.250 0.000 (multiplicity 4)
2 Zr 0.249 0.250 0.315 (multiplicity 4)
3 Sc 0.249 0.750 0.181 (multiplicity 4)

## Properties
- crystal system = orthorhombic
- energy of formation from the pure elements (eV/atom) = 0.1998
- calculated total energy (eV/atom) = -5.200